Entry 1:
The following is a GGA-PBE calculation of a geometry-optimized Na2Pa2I2O5 structure, from Alexandria via LeMat-Bulk.

a b c (Å): 4.2812 4.2812 14.6775
angles (deg): 98.39 98.39 90.00
Element x y z (fractional)
1 Pa 0.9262 0.9262 0.8524
2 Pa 0.0738 0.0738 0.1476
3 O 0.5847 0.0847 0.1694
4 O 0.4153 0.9153 0.8306
5 O 0.9153 0.4153 0.8306
6 O 0.0000 0.0000 0.0000
7 O 0.0847 0.5847 0.1694
8 Na 0.6443 0.6443 0.2887
9 Na 0.3557 0.3557 0.7113
10 I 0.1862 0.1862 0.3725
11 I 0.8138 0.8138 0.6275

Computed properties:
Formation energy without anion corrections   -2672 meV/atom
Total DFT energy (no corrections)   -7.17 eV per atom
Size of the total moment   0.0 Bohr magnetons per cell

Entry 2:
The following is a GGA-PBE calculation of a geometry-optimized NaPaIO6 structure, from Alexandria via LeMat-Bulk.

a b c (Å): 5.7202 5.7202 10.1032
angles (deg): 90.00 90.00 120.00
Each line ends with the local moment (μB).
Element x y z (fractional)
1 I 0.6667 0.3333 0.2500  0.12
2 I 0.3333 0.6667 0.7500  0.12
3 Pa 0.6667 0.3333 0.7500  0.18
4 Pa 0.3333 0.6667 0.2500  0.18
5 O 0.9739 0.3580 0.1424  0.08
6 O 0.3841 0.0261 0.1424  0.08
7 O 0.0261 0.3841 0.6424  0.08
8 O 0.0261 0.6420 0.8576  0.08
9 O 0.3841 0.3580 0.3576  0.08
10 O 0.3580 0.9739 0.6424  0.08
11 O 0.6159 0.9739 0.8576  0.08
12 O 0.3580 0.3841 0.8576  0.08
13 O 0.6420 0.6159 0.1424  0.08
14 O 0.6159 0.6420 0.6424  0.08
15 O 0.9739 0.6159 0.3576  0.08
16 O 0.6420 0.0261 0.3576  0.08
17 Na 0.0000 0.0000 0.5000  0.00
18 Na 0.0000 0.0000 0.0000  0.00

Computed properties:
Formation energy without anion corrections   -1699 meV/atom
Total DFT energy (no corrections)   -6.38 eV per atom
Size of the total moment   1.9 Bohr magnetons per cell

Entry 3:
The following is a GGA-PBE calculation of a geometry-optimized NaPa2IO8 structure, from Alexandria via LeMat-Bulk.

a b c (Å): 5.0355 5.0355 7.1408
angles (deg): 90.00 90.00 89.54
Element x y z (fractional)
1 O 0.3240 0.3236 0.5000
2 O 0.8005 0.1998 0.7836
3 O 0.1995 0.8002 0.2164
4 O 0.8005 0.1998 0.2164
5 O 0.3019 0.3017 0.0000
6 O 0.6760 0.6764 0.5000
7 O 0.1995 0.8002 0.7836
8 O 0.6981 0.6983 0.0000
9 Pa 0.5000 0.5000 0.7447
10 Pa 0.5000 0.5000 0.2553
11 I 0.0000 0.0000 0.0000
12 Na 0.0000 0.0000 0.5000

Computed properties:
Formation energy without anion corrections   -2344 meV/atom
Total DFT energy (no corrections)   -7.47 eV per atom
Size of the total moment   0.0 Bohr magnetons per cell

Entry 4:
The following is a GGA-PBE calculation of a geometry-optimized NaPbIO2 structure, from Alexandria via LeMat-Bulk.

a b c (Å): 4.5664 4.5664 5.6799
angles (deg): 90.00 90.00 90.00
Each line ends with the local moment (μB).
Element x y z (fractional)
1 I 0.0000 0.0000 0.5000  0.01
2 Na 0.0000 0.0000 0.0000  0.00
3 O 0.5000 0.0000 0.0000  0.85
4 O 0.0000 0.5000 0.0000  0.85
5 Pb 0.5000 0.5000 0.5000  -0.05

Computed properties:
Formation energy without anion corrections   43 meV/atom
Total DFT energy (no corrections)   -3.26 eV per atom
Size of the total moment   2.0 Bohr magnetons per cell

Entry 5:
The following is a GGA-PBE calculation of a geometry-optimized Na2PbIO6 structure, from Alexandria via LeMat-Bulk.

a b c (Å): 5.7682 5.7682 5.7682
angles (deg): 60.42 60.42 60.42
Element x y z (fractional)
1 O 0.3232 0.1259 0.7879
2 O 0.6768 0.8742 0.2121
3 O 0.7879 0.3232 0.1259
4 O 0.1259 0.7879 0.3232
5 O 0.8742 0.2121 0.6768
6 O 0.2121 0.6768 0.8742
7 Na 0.2363 0.2363 0.2363
8 Na 0.7639 0.7639 0.7639
9 I 0.0001 0.0001 0.0001
10 Pb 0.5001 0.5001 0.5001

Computed properties:
Formation energy without anion corrections   -928 meV/atom
Total DFT energy (no corrections)   -4.69 eV per atom
Size of the total moment   0.0 Bohr magnetons per cell

Entry 6:
The following is a GGA-PBE calculation of a geometry-optimized NaPbIO5 structure, from Alexandria via LeMat-Bulk.

a b c (Å): 5.9376 5.9376 7.6207
angles (deg): 97.46 97.46 109.07
Element x y z (fractional)
1 Pb 0.0000 0.0000 0.5000
2 Pb 0.0000 0.0000 0.0000
3 O 0.9101 0.0899 0.7500
4 O 0.7911 0.6111 0.4762
5 O 0.6502 0.0898 0.3690
6 O 0.6111 0.7911 0.9762
7 O 0.3498 0.9102 0.6310
8 O 0.9102 0.3498 0.1310
9 O 0.3889 0.2089 0.0238
10 O 0.0899 0.9101 0.2500
11 O 0.2089 0.3889 0.5238
12 O 0.0898 0.6502 0.8690
13 I 0.3458 0.6542 0.7500
14 I 0.6542 0.3458 0.2500
15 Na 0.3192 0.6808 0.2500
16 Na 0.6808 0.3192 0.7500

Computed properties:
Formation energy without anion corrections   -670 meV/atom
Total DFT energy (no corrections)   -4.59 eV per atom
Size of the total moment   0.0 Bohr magnetons per cell

Entry 7:
The following is a GGA-PBE calculation of a geometry-optimized NaPb2IO8 structure, from Alexandria via LeMat-Bulk.

a b c (Å): 5.0179 4.9016 6.7718
angles (deg): 90.00 90.00 89.64
Element x y z (fractional)
1 O 0.3291 0.2857 0.5000
2 O 0.8389 0.2010 0.2060
3 O 0.6899 0.7400 0.0000
4 O 0.1611 0.7990 0.2060
5 O 0.3101 0.2600 0.0000
6 O 0.6709 0.7143 0.5000
7 O 0.8389 0.2010 0.7940
8 O 0.1611 0.7990 0.7940
9 Na 0.0000 0.0000 0.5000
10 I 0.0000 0.0000 0.0000
11 Pb 0.5000 0.5000 0.7434
12 Pb 0.5000 0.5000 0.2566

Computed properties:
Formation energy without anion corrections   -663 meV/atom
Total DFT energy (no corrections)   -4.83 eV per atom
Size of the total moment   0.1 Bohr magnetons per cell

Entry 8:
The following is a GGA-PBE calculation of a geometry-optimized NaPbIO2 structure, from Alexandria via LeMat-Bulk.

a b c (Å): 4.3224 4.3224 6.3368
angles (deg): 90.00 90.00 90.00
Each line ends with the local moment (μB).
Element x y z (fractional)
1 Pb 0.0000 0.0000 0.0000  0.01
2 Na 0.5000 0.5000 0.5000  0.00
3 O 0.0000 0.5000 0.0000  -0.13
4 O 0.5000 0.0000 0.0000  -0.13
5 I 0.0000 0.0000 0.5000  0.00

Computed properties:
Formation energy without anion corrections   -616 meV/atom
Total DFT energy (no corrections)   -3.91 eV per atom
Size of the total moment   0.3 Bohr magnetons per cell

Entry 9:
The following is a GGA-PBE calculation of a geometry-optimized NaPbIO6 structure, from Alexandria via LeMat-Bulk.

a b c (Å): 5.5043 5.5043 10.2435
angles (deg): 90.00 90.00 120.00
Element x y z (fractional)
1 O 0.3917 0.3517 0.3586
2 O 0.6483 0.0400 0.3586
3 O 0.6083 0.6483 0.6414
4 O 0.0400 0.3917 0.6414
5 O 0.6083 0.9600 0.8586
6 O 0.3517 0.9600 0.6414
7 O 0.6483 0.6083 0.1414
8 O 0.9600 0.3517 0.1414
9 O 0.3517 0.3917 0.8586
10 O 0.3917 0.0400 0.1414
11 O 0.0400 0.6483 0.8586
12 O 0.9600 0.6083 0.3586
13 I 0.3333 0.6667 0.7500
14 I 0.6667 0.3333 0.2500
15 Pb 0.3333 0.6667 0.2500
16 Pb 0.6667 0.3333 0.7500
17 Na 0.0000 0.0000 0.0000
18 Na 0.0000 0.0000 0.5000

Computed properties:
Formation energy without anion corrections   -740 meV/atom
Total DFT energy (no corrections)   -4.78 eV per atom
Size of the total moment   0.0 Bohr magnetons per cell

Entry 10:
The following is a GGA-PBE calculation of a geometry-optimized NaPdIO6 structure, from Alexandria via LeMat-Bulk.

a b c (Å): 5.2103 5.2103 10.5178
angles (deg): 90.00 90.00 120.00
Element x y z (fractional)
1 O 0.0157 0.3766 0.6467
2 O 0.6391 0.6234 0.1467
3 O 0.3609 0.3766 0.8533
4 O 0.3766 0.0157 0.1467
5 O 0.6234 0.9843 0.8533
6 O 0.3609 0.9843 0.6467
7 O 0.6234 0.6391 0.6467
8 O 0.9843 0.6234 0.3533
9 O 0.6391 0.0157 0.3533
10 O 0.3766 0.3609 0.3533
11 O 0.9843 0.3609 0.1467
12 O 0.0157 0.6391 0.8533
13 Na 0.0000 0.0000 0.0000
14 Na 0.0000 0.0000 0.5000
15 I 0.3333 0.6667 0.7500
16 I 0.6667 0.3333 0.2500
17 Pd 0.3333 0.6667 0.2500
18 Pd 0.6667 0.3333 0.7500

Computed properties:
Formation energy without anion corrections   -618 meV/atom
Total DFT energy (no corrections)   -4.82 eV per atom
Size of the total moment   0.0 Bohr magnetons per cell

Entry 11:
The following is a GGA-PBE calculation of a geometry-optimized Na2PdIO6 structure, from Alexandria via LeMat-Bulk.

a b c (Å): 5.5688 5.5699 5.5007
angles (deg): 59.55 59.58 60.00
Element x y z (fractional)
1 O 0.5547 0.1645 0.2939
2 O 0.6451 0.0789 0.8077
3 O 0.4679 0.6456 0.8072
4 O 0.9873 0.5540 0.2946
5 O 0.1645 0.9867 0.2951
6 O 0.0782 0.4679 0.8083
7 Pd 0.8161 0.8161 0.5516
8 Na 0.0650 0.0653 0.8044
9 Na 0.5666 0.5663 0.3009
10 I 0.3162 0.3162 0.0515

Computed properties:
Formation energy without anion corrections   -699 meV/atom
Total DFT energy (no corrections)   -4.61 eV per atom
Size of the total moment   0.0 Bohr magnetons per cell

Entry 12:
The following is a GGA-PBE calculation of a geometry-optimized Na2PdIO4 structure, from Alexandria via LeMat-Bulk.

a b c (Å): 5.3983 5.3983 5.3983
angles (deg): 103.52 112.53 112.53
Element x y z (fractional)
1 O 0.0350 0.1194 0.4727
2 O 0.6467 0.5273 0.5624
3 O 0.9650 0.4376 0.0844
4 O 0.3533 0.9156 0.8806
5 Na 0.5000 0.7500 0.2500
6 Na 0.0000 0.0000 0.0000
7 Pd 0.5000 0.2500 0.7500
8 I 0.0000 0.5000 0.5000

Computed properties:
Formation energy without anion corrections   -626 meV/atom
Total DFT energy (no corrections)   -4.28 eV per atom
Size of the total moment   0.0 Bohr magnetons per cell

What density values result from the calculations? In sequence: 5.31, 5.53, 6.79, 5.46, 5.77, 5.87, 6.90, 5.46, 5.60, 4.73, 5.20, 4.75 Mg/m³.